Entry 1:
Density functional theory data (GGA-PBEsol) for a relaxed La2Ti3ZnO10 crystal.

Unit cell a=3.8099 b=3.8099 c=13.6849 alpha=98.00 beta=98.00 gamma=90.00
With the nearest neighbours (Å) after each atom.
Positions (direct):
La1 0.4202 0.4202 0.8404  8 O 2.48-2.70
La2 0.5798 0.5798 0.1596  8 O 2.48-2.70
Ti1 0.1563 0.1563 0.3125  5 O 1.79-1.96
Ti2 0.8437 0.8437 0.6875  5 O 1.79-1.96
Ti3 0.0000 0.0000 0.0000  6 O 1.91-1.93
Zn1 0.7500 0.2500 0.5000  4 O 2.04
O1 0.5009 0.0009 0.0019  2 Ti 1.91
O2 0.9991 0.4991 0.9981  2 Ti 1.91
O3 0.6420 0.1420 0.2840  2 Ti 1.94
O4 0.1388 0.6388 0.2776  2 Ti 1.96
O5 0.3612 0.8612 0.7224  2 Ti 1.96
O6 0.8580 0.3580 0.7160  2 Ti 1.94
O7 0.2230 0.2230 0.4461  1 Ti 1.79
O8 0.7770 0.7770 0.5539  1 Ti 1.79
O9 0.0720 0.0720 0.1439  1 Ti 1.93
O10 0.9280 0.9280 0.8561  1 Ti 1.93

Results
Symmetry: No. 119
Formation energy from raw total energies in eV/atom: -3.037
Total energy in eV per atom: -8.64

=====

Entry 2:
Density functional theory data (GGA-PBEsol) for a relaxed MgMn2Tl crystal.

Unit cell a=3.9138 b=3.9558 c=5.1681 alpha=112.50 beta=112.25 gamma=90.00
With the nearest neighbours (Å) after each atom.
Positions (direct):
Mg1 0.2503 0.2503 0.5005  8 Mn 2.78-2.94, 4 Tl 2.93-2.94
Mn1 0.0004 0.5004 0.0008  4 Tl 2.78, 4 Mn 2.92-2.95, 4 Mg 2.93-2.94
Mn2 0.7495 0.7495 0.4991  4 Mg 2.78, 4 Mn 2.92-2.95, 4 Tl 2.93-2.94
Tl1 0.4998 0.9998 0.9996  8 Mn 2.78-2.94, 4 Mg 2.93-2.94

Results
Symmetry: No. 44
Formation enthalpy at 0 K in eV/atom: 0.4512
Total energy in eV per atom: -5.52

=====

Entry 3:
Density functional theory data (GGA-PBEsol) for a relaxed Ca2SbPb crystal.

Unit cell a=4.1904 b=4.8078 c=6.4966 alpha=111.72 beta=108.81 gamma=90.00
With the nearest neighbours (Å) after each atom.
Positions (direct):
Pb1 0.5181 0.5181 0.0362  6 Ca 3.20-3.58, 2 Sb 3.26
Sb1 0.2384 0.7384 0.4768  6 Ca 3.19-3.55, 2 Pb 3.26
Ca1 0.9915 0.9915 0.9830  4 Pb 3.20, 2 Sb 3.55
Ca2 0.7520 0.2520 0.5040  4 Sb 3.19

Results
Symmetry: No. 44
Formation energy from raw total energies in eV/atom: -0.659
E above lowest polymorph in eV per atom: 0.048
Total energy in eV per atom: -3.86

=====

Entry 4:
Density functional theory data (GGA-PBEsol) for a relaxed BaInRh2 crystal.

Unit cell a=3.3311 b=3.3311 c=7.3334 alpha=90.00 beta=90.00 gamma=90.00
With the nearest neighbours (Å) after each atom.
Positions (direct):
Ba1 0.5000 0.5000 0.0000  8 Rh 3.25, 4 Ba 3.33
In1 0.5000 0.5000 0.5000  8 Rh 2.76
Rh1 0.0000 0.0000 0.6950  4 In 2.76, 1 Rh 2.86
Rh2 0.0000 0.0000 0.3050  4 In 2.76, 1 Rh 2.86

Results
Symmetry: No. 123
Formation enthalpy at 0 K in eV/atom: -0.0749
Total energy in eV per atom: -5.43

=====

Entry 5:
Density functional theory data (GGA-PBEsol) for a relaxed Ca2CeO4 crystal.

Unit cell a=3.5031 b=5.7774 c=9.8328 alpha=90.00 beta=90.00 gamma=90.00
With the nearest neighbours (Å) after each atom.
Positions (direct):
Ca1 0.5000 0.0602 0.6784  6 O 2.30-2.44
Ca2 0.5000 0.4398 0.1784  6 O 2.30-2.44
Ca3 0.5000 0.5602 0.8216  6 O 2.30-2.44
Ca4 0.5000 0.9398 0.3216  6 O 2.30-2.44
Ce1 0.0000 0.0000 0.0000  6 O 2.20-2.27
Ce2 0.0000 0.5000 0.5000  6 O 2.20-2.27
O1 0.0000 0.1557 0.2039  1 Ce 2.20, 4 Ca 2.41-2.44
O2 0.5000 0.2406 0.9613  2 Ce 2.27, 2 Ca 2.30-2.42
O3 0.5000 0.2594 0.4613  2 Ce 2.27, 2 Ca 2.30-2.42
O4 0.0000 0.3443 0.7039  1 Ce 2.20, 4 Ca 2.41-2.44
O5 0.0000 0.6557 0.2961  1 Ce 2.20, 4 Ca 2.41-2.44
O6 0.5000 0.7406 0.5387  2 Ce 2.27, 2 Ca 2.30-2.42
O7 0.5000 0.7594 0.0387  2 Ce 2.27, 2 Ca 2.30-2.42
O8 0.0000 0.8443 0.7961  1 Ce 2.20, 4 Ca 2.41-2.44

Results
Symmetry: No. 55
Formation energy from raw total energies in eV/atom: -3.174
E above lowest polymorph in eV per atom: 0.000
Total energy in eV per atom: -7.73

=====

Entry 6:
Density functional theory data (GGA-PBEsol) for a relaxed Ba4MgBi3O12 crystal.

Unit cell a=7.3775 b=7.3775 c=7.3775 alpha=109.47 beta=109.47 gamma=109.47
With the nearest neighbours (Å) after each atom.
Positions (direct):
Ba1 0.0000 0.0000 0.5000  12 O 3.01
Ba2 0.5000 0.5000 0.5000  12 O 3.01
Ba3 0.5000 0.0000 0.0000  12 O 3.01
Ba4 0.0000 0.5000 0.0000  12 O 3.01
Mg1 0.0000 0.0000 0.0000  6 O 2.15
Bi1 0.5000 0.0000 0.5000  6 O 2.11-2.13
Bi2 0.5000 0.5000 0.0000  6 O 2.11-2.13
Bi3 0.0000 0.5000 0.5000  6 O 2.11-2.13
O1 0.2519 0.2519 0.0000  1 Bi 2.11, 1 Mg 2.15
O2 0.7500 0.5000 0.2500  2 Bi 2.13
O3 0.7481 0.0000 0.7481  1 Bi 2.11, 1 Mg 2.15
O4 0.5000 0.7500 0.2500  2 Bi 2.13
O5 0.2500 0.7500 0.5000  2 Bi 2.13
O6 0.2500 0.5000 0.7500  2 Bi 2.13
O7 0.0000 0.7481 0.7481  1 Bi 2.11, 1 Mg 2.15
O8 0.0000 0.2519 0.2519  1 Bi 2.11, 1 Mg 2.15
O9 0.7481 0.7481 0.0000  1 Bi 2.11, 1 Mg 2.15
O10 0.7500 0.2500 0.5000  2 Bi 2.13
O11 0.5000 0.2500 0.7500  2 Bi 2.13
O12 0.2519 0.0000 0.2519  1 Bi 2.11, 1 Mg 2.15

Results
Symmetry: No. 229
Formation energy from raw total energies in eV/atom: -1.940
Total energy in eV per atom: -6.25

=====

Entry 7:
Density functional theory data (GGA-PBEsol) for a relaxed CoPtPb2 crystal.

Unit cell a=3.0850 b=4.2112 c=6.5193 alpha=108.84 beta=103.69 gamma=90.00
With the nearest neighbours (Å) after each atom.
Positions (direct):
Pb1 0.9524 0.9524 0.9047  2 Co 2.86, 4 Pt 2.95, 2 Pb 3.09
Pb2 0.7287 0.2287 0.4574  4 Co 2.62, 2 Pt 2.85
Co1 0.2508 0.7508 0.5016  6 Pb 2.62-2.86, 2 Pt 2.67
Pt1 0.5682 0.5682 0.1363  2 Co 2.67, 6 Pb 2.85-2.95

Results
Symmetry: No. 44
Formation enthalpy at 0 K in eV/atom: 0.2450
Total energy in eV per atom: -5.43

=====

Entry 8:
Density functional theory data (GGA-PBEsol) for a relaxed Co2GeH crystal.

Unit cell a=3.7856 b=3.7856 c=3.7856 alpha=60.00 beta=60.00 gamma=60.00
With the nearest neighbours (Å) after each atom.
Positions (direct):
H1 0.0000 0.0000 0.0000  8 Co 2.32
Ge1 0.5000 0.5000 0.5000  8 Co 2.32
Co1 0.2500 0.2500 0.2500  4 H 2.32, 4 Ge 2.32
Co2 0.7500 0.7500 0.7500  4 Ge 2.32, 4 H 2.32

Results
Symmetry: No. 225
Total energy in eV per atom: -5.71

=====

Entry 9:
Density functional theory data (GGA-PBEsol) for a relaxed Na2ZrRe crystal.

Unit cell a=4.7576 b=4.7576 c=4.7576 alpha=60.00 beta=60.00 gamma=60.00
With the nearest neighbours (Å) after each atom.
Positions (direct):
Re1 0.5000 0.5000 0.5000  8 Na 2.91
Zr1 0.0000 0.0000 0.0000  8 Na 2.91
Na1 0.2500 0.2500 0.2500  4 Zr 2.91, 4 Re 2.91
Na2 0.7500 0.7500 0.7500  4 Zr 2.91, 4 Re 2.91

Results
Symmetry: No. 225
Formation enthalpy at 0 K in eV/atom: 1.4983
Total energy in eV per atom: -4.81

=====

Entry 10:
Density functional theory data (GGA-PBEsol) for a relaxed ZrP2IrO crystal.

Unit cell a=3.7875 b=5.0047 c=5.0047 alpha=90.00 beta=90.00 gamma=90.00
With the nearest neighbours (Å) after each atom.
Positions (direct):
P1 0.0000 0.0000 0.5000  2 Zr 2.50
P2 0.0000 0.5000 0.0000  2 Zr 2.50
Ir1 0.5000 0.5000 0.5000  8 P 3.14
O1 0.5000 0.0000 0.0000  2 Zr 1.89
Zr1 0.0000 0.0000 0.0000  2 O 1.89

Results
Symmetry: No. 123
Formation energy from raw total energies in eV/atom: 0.291
Total energy in eV per atom: -6.86

=====

Entry 11:
Density functional theory data (GGA-PBEsol) for a relaxed Zn2PRh crystal.

Unit cell a=2.7902 b=2.7902 c=7.3139 alpha=90.00 beta=90.00 gamma=90.04
With the nearest neighbours (Å) after each atom.
Positions (direct):
P1 0.5000 0.5000 0.5000  4 P 2.79, 8 Zn 2.80
Rh1 0.5000 0.5000 0.0000  8 Zn 2.59, 4 Rh 2.79
Zn1 0.0000 0.0000 0.2288  4 Rh 2.59, 4 Zn 2.79, 4 P 2.80
Zn2 0.0000 0.0000 0.7712  4 Rh 2.59, 4 Zn 2.79, 4 P 2.80

Results
Symmetry: No. 123
Formation enthalpy at 0 K in eV/atom: 0.0191
Total energy in eV per atom: -4.25

=====

Number 1: D(E_F) 0.00 states/eV per atom. Number 2: D(E_F) 1.02 states/eV per atom. Number 3: D(E_F) 0.47 states/eV per atom. Number 4: D(E_F) 0.72 states/eV per atom. Number 5: D(E_F) 0.00 states/eV per atom. Number 6: D(E_F) 0.08 states/eV per atom. Number 7: D(E_F) 0.87 states/eV per atom. Number 8: D(E_F) 0.52 states/eV per atom. Number 9: D(E_F) 0.85 states/eV per atom. Number 10: D(E_F) 1.09 states/eV per atom. Number 11: D(E_F) 0.52 states/eV per atom.